{"formula": "Si2SnMoI", "functional": "PBE-GGA", "state": "optimized geometry", "crystal_system": "tetragonal", "formation_energy_uncorrected_ev_per_fu": 8.48, "energy_ev_per_atom": -3.751, "lattice": [[-1.229, -4.929, 0.498], [5.190, -1.540, -2.433], [2.150, -0.069, 4.629]], "species": ["Mo", "Si", "Si", "Sn", "I"], "frac_coords": [[0.500, 0.500, 0.500], [0.000, 0.000, 0.500], [0.500, 0.000, 0.000], [0.000, 0.000, 0.000], [0.000, 0.500, 0.000]]}